Entry 1:
First-principles (PBE) data for an optimized crystal structure of Li4ZnAg3, as listed in Alexandria via LeMat-Bulk.

Structure (CIF):
```
data_Li4ZnAg3
_symmetry_space_group_name_H-M 'P 4/m m m'
_symmetry_Int_Tables_number 123
_symmetry_space_group_name_Hall '-P 4 2'
_cell_length_a 3.221
_cell_length_b 3.221
_cell_length_c 12.147
_cell_angle_alpha 90.00
_cell_angle_beta 90.00
_cell_angle_gamma 90.00
loop_
_atom_site_label
_atom_site_fract_x
_atom_site_fract_y
_atom_site_fract_z
_atom_site_occupancy
Li1 0.000 0.000 0.121 1
Li2 0.000 0.000 0.373 1
Zn1 0.500 0.500 0.000 1
Ag1 0.500 0.500 0.246 1
Ag2 0.500 0.500 0.500 1
```



Entry 2:
First-principles (PBE) data for an optimized crystal structure of Li2ZnAg, as listed in Alexandria via LeMat-Bulk.

Structure (CIF):
```
data_Li2ZnAg
_symmetry_space_group_name_H-M 'P 4/m m m'
_symmetry_Int_Tables_number 123
_symmetry_space_group_name_Hall '-P 4 2'
_cell_length_a 4.012
_cell_length_b 4.012
_cell_length_c 3.866
_cell_angle_alpha 90.00
_cell_angle_beta 90.00
_cell_angle_gamma 90.00
loop_
_atom_site_label
_atom_site_fract_x
_atom_site_fract_y
_atom_site_fract_z
_atom_site_occupancy
Li1 0.000 0.500 0.000 1
Zn1 0.000 0.000 0.500 1
Ag1 0.500 0.500 0.500 1
```



It is found that the energy of formation from the pure elements values, taken in the order of the records, are -0.20 -0.19 eV per atom.